# SrCo2Pt

A geometry-optimized SrCo2Pt structure (PBE-GGA, Alexandria).

Cell and atoms, written as CIF:
```
data_SrCo2Pt
_chemical_formula_sum 'Sr2 Co4 Pt2'
_symmetry_space_group_name_H-M 'C 1 m 1'
_symmetry_Int_Tables_number 8
_cell_length_a 7.3490
_cell_length_b 4.2405
_cell_length_c 5.8702
_cell_angle_alpha 90.00
_cell_angle_beta 114.56
_cell_angle_gamma 90.00
loop_
_symmetry_equiv_pos_as_xyz
'x,y,z'
'x,-y,z'
'x+1/2,y+1/2,z'
'x+1/2,-y+1/2,z'
loop_
_atom_site_label
_atom_site_type_symbol
_atom_site_fract_x
_atom_site_fract_y
_atom_site_fract_z
Sr1 Sr 0.0000 0.0000 0.0000
Co1 Co 0.3162 0.5000 0.4494
Co2 Co 0.4979 0.0000 0.4948
Pt1 Pt 0.1895 0.0000 0.5696
```

Output
Formation enthalpy at 0 K, eV/atom: -0.141
V, A^3/atom: 20.798
Theoretical density, g/cm3: 7.995